CoBi2F11 | PBE with a Hubbard U | relaxed Values from VASP.

Geometry as Quantum ESPRESSO input:
```
&SYSTEM
  ibrav = 0, nat = 28, ntyp = 3
/
ATOMIC_SPECIES
Co 58.93 Co.upf
Bi 208.98 Bi.upf
F 19.00 F.upf
CELL_PARAMETERS angstrom
-4.220 5.093 5.246
4.220 -5.093 5.246
4.220 5.093 -5.246
ATOMIC_POSITIONS angstrom
Co 0.000 0.000 2.623
Co 0.000 0.000 7.869
Bi 5.212 1.966 0.000
Bi 0.992 3.127 0.000
Bi 3.229 1.966 5.246
Bi -0.992 3.127 5.246
F 4.220 0.000 0.000
F 3.623 3.857 -3.846
F 2.430 -1.113 1.719
F 3.001 2.221 0.000
F 1.791 3.980 -1.719
F 4.818 3.857 -1.400
F 0.598 1.237 1.400
F 6.011 1.113 1.719
F 3.001 -2.221 5.246
F 2.430 1.113 3.527
F -0.598 1.237 3.846
F 0.000 5.093 0.000
F 4.818 3.857 1.400
F 1.791 3.980 1.719
F 1.219 7.314 0.000
F -1.791 3.980 3.527
F 3.623 3.857 3.846
F -0.598 1.237 6.646
F 2.430 1.113 6.965
F 1.219 2.873 5.246
F 1.791 6.207 3.527
F 0.598 1.237 9.092
```

VASP energy: -4.303 eV per atom
Total magnetic moment: 0.26 μB/atom